Version P
# TlAs2Br GGA-PBE optimized geometry
# Density: 7.56 g cm⁻³
data_TlAs2Br
_chemical_formula_sum 'Tl3 As6 Br3'
_cell_length_a 3.3772
_cell_length_b 3.3772
_cell_length_c 28.9656
_cell_angle_alpha 90.00
_cell_angle_beta 90.00
_cell_angle_gamma 120.00
_symmetry_space_group_name_H-M 'R -3 m'
_symmetry_Int_Tables_number 166
_symmetry_space_group_name_Hall '-R 3 2"'
loop_
_atom_site_label
_atom_site_type_symbol
_atom_site_fract_x
_atom_site_fract_y
_atom_site_fract_z
_atom_site_occupancy
Tl1 Tl 0.0000 0.0000 0.0000 1
As1 As 0.0000 0.0000 0.2465 1
Br1 Br 0.0000 0.0000 0.5000 1

***

Version Q
# TlAs2Br GGA-PBE optimized geometry
# Density: 6.47 g cm⁻³
data_TlAs2Br
_chemical_formula_sum 'Tl2 As4 Br2'
_cell_length_a 5.715
_cell_length_b 13.806
_cell_length_c 2.824
_cell_angle_alpha 90.00
_cell_angle_beta 90.00
_cell_angle_gamma 90.00
_symmetry_space_group_name_H-M 'C m m m'
_symmetry_Int_Tables_number 65
_symmetry_space_group_name_Hall '-C 2 2'
loop_
_atom_site_label
_atom_site_type_symbol
_atom_site_fract_x
_atom_site_fract_y
_atom_site_fract_z
_atom_site_occupancy
Tl1 Tl 0.000 0.000 0.000 1
As1 As 0.250 0.250 0.500 1
Br1 Br 0.000 0.500 0.000 1

***

Version R
# TlAs2Br GGA-PBE optimized geometry
# Density: 6.31 g cm⁻³
data_TlAs2Br
_chemical_formula_sum 'Tl1 As2 Br1'
_cell_length_a 3.560
_cell_length_b 3.560
_cell_length_c 9.020
_cell_angle_alpha 90.00
_cell_angle_beta 90.00
_cell_angle_gamma 90.00
_symmetry_space_group_name_H-M 'P 4 m m'
_symmetry_Int_Tables_number 99
_symmetry_space_group_name_Hall 'P 4 -2'
loop_
_atom_site_label
_atom_site_type_symbol
_atom_site_fract_x
_atom_site_fract_y
_atom_site_fract_z
_atom_site_occupancy
Tl1 Tl 0.000 0.000 0.000 1
As1 As 0.000 0.000 0.446 1
As2 As 0.500 0.500 0.344 1
Br1 Br 0.500 0.500 0.798 1

***

Version S
# TlAs2Br GGA-PBE optimized geometry
# Density: 7.39 g cm⁻³
data_TlAs2Br
_chemical_formula_sum 'Tl1 As2 Br1'
_cell_length_a 3.293
_cell_length_b 5.321
_cell_length_c 5.565
_cell_angle_alpha 90.00
_cell_angle_beta 90.00
_cell_angle_gamma 90.00
_symmetry_space_group_name_H-M 'P m m m'
_symmetry_Int_Tables_number 47
_symmetry_space_group_name_Hall '-P 2 2'
loop_
_atom_site_label
_atom_site_type_symbol
_atom_site_fract_x
_atom_site_fract_y
_atom_site_fract_z
_atom_site_occupancy
Tl1 Tl 0.000 0.000 0.000 1
As1 As 0.000 0.500 0.500 1
As2 As 0.500 0.000 0.500 1
Br1 Br 0.500 0.500 0.000 1

***

Name the least stable of them. version P.

***

Version P
# TlAs2Br GGA-PBE optimized geometry
# Density: 5.52 g cm⁻³
data_TlAs2Br
_chemical_formula_sum 'Tl4 As8 Br4'
_cell_length_a 5.908
_cell_length_b 5.908
_cell_length_c 14.976
_cell_angle_alpha 90.00
_cell_angle_beta 90.00
_cell_angle_gamma 90.00
_symmetry_space_group_name_H-M 'I -4 2 d'
_symmetry_Int_Tables_number 122
_symmetry_space_group_name_Hall 'I -4 2bw'
loop_
_atom_site_label
_atom_site_type_symbol
_atom_site_fract_x
_atom_site_fract_y
_atom_site_fract_z
_atom_site_occupancy
Tl1 Tl 0.000 0.000 0.000 1
As1 As 0.230 0.250 0.625 1
Br1 Br 0.000 0.000 0.500 1

***

Version Q
# TlAs2Br GGA-PBE optimized geometry
# Density: 5.82 g cm⁻³
data_TlAs2Br
_chemical_formula_sum 'Tl1 As2 Br1'
_cell_length_a 4.071
_cell_length_b 4.071
_cell_length_c 7.479
_cell_angle_alpha 90.00
_cell_angle_beta 90.00
_cell_angle_gamma 90.00
_symmetry_space_group_name_H-M 'P 4/m m m'
_symmetry_Int_Tables_number 123
_symmetry_space_group_name_Hall '-P 4 2'
loop_
_atom_site_label
_atom_site_type_symbol
_atom_site_fract_x
_atom_site_fract_y
_atom_site_fract_z
_atom_site_occupancy
Tl1 Tl 0.000 0.000 0.000 1
As1 As 0.000 0.500 0.500 1
Br1 Br 0.500 0.500 0.000 1

***

Name the least stable of them. version P.

***

Version P
# TlAs2Br GGA-PBE optimized geometry
# Density: 6.20 g cm⁻³
data_TlAs2Br
_chemical_formula_sum 'Tl1 As2 Br1'
_cell_length_a 3.672
_cell_length_b 5.397
_cell_length_c 6.069
_cell_angle_alpha 75.14
_cell_angle_beta 89.54
_cell_angle_gamma 90.00
_symmetry_space_group_name_H-M 'P 1'
_symmetry_Int_Tables_number 1
_symmetry_space_group_name_Hall 'P 1'
loop_
_atom_site_label
_atom_site_type_symbol
_atom_site_fract_x
_atom_site_fract_y
_atom_site_fract_z
_atom_site_occupancy
Tl1 Tl 0.000 0.000 0.000 1
As1 As 0.001 0.143 0.476 1
As2 As 0.502 0.455 0.411 1
Br1 Br 0.501 0.535 0.880 1

***

Version Q
# TlAs2Br GGA-PBE optimized geometry
# Density: 7.24 g cm⁻³
data_TlAs2Br
_chemical_formula_sum 'Tl2 As4 Br2'
_cell_length_a 4.074
_cell_length_b 5.903
_cell_length_c 8.280
_cell_angle_alpha 90.00
_cell_angle_beta 90.00
_cell_angle_gamma 90.00
_symmetry_space_group_name_H-M 'C m m m'
_symmetry_Int_Tables_number 65
_symmetry_space_group_name_Hall '-C 2 2'
loop_
_atom_site_label
_atom_site_type_symbol
_atom_site_fract_x
_atom_site_fract_y
_atom_site_fract_z
_atom_site_occupancy
Tl1 Tl 0.000 0.000 0.000 1
As1 As 0.000 0.500 0.236 1
Br1 Br 0.000 0.000 0.500 1

***

Name the least stable of them. version Q.

***

Version P
# TlAs2Br GGA-PBE optimized geometry
# Density: 7.58 g cm⁻³
data_TlAs2Br
_chemical_formula_sum 'Tl1 As2 Br1'
_cell_length_a 5.357
_cell_length_b 5.357
_cell_length_c 3.315
_cell_angle_alpha 90.00
_cell_angle_beta 90.00
_cell_angle_gamma 90.00
_symmetry_space_group_name_H-M 'P 4/m m m'
_symmetry_Int_Tables_number 123
_symmetry_space_group_name_Hall '-P 4 2'
loop_
_atom_site_label
_atom_site_type_symbol
_atom_site_fract_x
_atom_site_fract_y
_atom_site_fract_z
_atom_site_occupancy
Tl1 Tl 0.000 0.000 0.000 1
As1 As 0.000 0.500 0.500 1
Br1 Br 0.500 0.500 0.000 1

***

Version Q
# TlAs2Br GGA-PBE optimized geometry
# Density: 6.22 g cm⁻³
data_TlAs2Br
_chemical_formula_sum 'Tl2 As4 Br2'
_cell_length_a 12.121
_cell_length_b 3.762
_cell_length_c 5.113
_cell_angle_alpha 90.00
_cell_angle_beta 96.56
_cell_angle_gamma 90.00
_symmetry_space_group_name_H-M 'C 1 2/m 1'
_symmetry_Int_Tables_number 12
_symmetry_space_group_name_Hall '-C 2y'
loop_
_atom_site_label
_atom_site_type_symbol
_atom_site_fract_x
_atom_site_fract_y
_atom_site_fract_z
_atom_site_occupancy
Tl1 Tl 0.000 0.000 0.000 1
As1 As 0.231 0.000 0.151 1
Br1 Br 0.000 0.500 0.500 1

***

Name the least stable of them. version P.

***

Version P
# TlAs2Br GGA-PBE optimized geometry
# Density: 7.24 g cm⁻³
data_TlAs2Br
_chemical_formula_sum 'Tl2 As4 Br2'
_cell_length_a 3.458
_cell_length_b 4.935
_cell_length_c 11.672
_cell_angle_alpha 90.00
_cell_angle_beta 90.00
_cell_angle_gamma 90.00
_symmetry_space_group_name_H-M 'I m m m'
_symmetry_Int_Tables_number 71
_symmetry_space_group_name_Hall '-I 2 2'
loop_
_atom_site_label
_atom_site_type_symbol
_atom_site_fract_x
_atom_site_fract_y
_atom_site_fract_z
_atom_site_occupancy
Tl1 Tl 0.000 0.000 0.000 1
As1 As 0.000 0.500 0.276 1
Br1 Br 0.000 0.000 0.500 1

***

Version Q
# TlAs2Br GGA-PBE optimized geometry
# Density: 7.71 g cm⁻³
data_TlAs2Br
_chemical_formula_sum 'Tl4 As8 Br4'
_cell_length_a 7.204
_cell_length_b 7.204
_cell_length_c 7.204
_cell_angle_alpha 90.00
_cell_angle_beta 90.00
_cell_angle_gamma 90.00
_symmetry_space_group_name_H-M 'F m -3 m'
_symmetry_Int_Tables_number 225
_symmetry_space_group_name_Hall '-F 4 2 3'
loop_
_atom_site_label
_atom_site_type_symbol
_atom_site_fract_x
_atom_site_fract_y
_atom_site_fract_z
_atom_site_occupancy
Tl1 Tl 0.000 0.000 0.000 1
As1 As 0.250 0.250 0.250 1
Br1 Br 0.000 0.000 0.500 1

***

Name the least stable of them. version Q.

***

Version P
# TlAs2Br GGA-PBE optimized geometry
# Density: 5.67 g cm⁻³
data_TlAs2Br
_chemical_formula_sum 'Tl3 As6 Br3'
_cell_length_a 3.8006
_cell_length_b 3.8006
_cell_length_c 30.4711
_cell_angle_alpha 90.00
_cell_angle_beta 90.00
_cell_angle_gamma 120.00
_symmetry_space_group_name_H-M 'R 3 m'
_symmetry_Int_Tables_number 160
_symmetry_space_group_name_Hall 'R 3 -2"'
loop_
_atom_site_label
_atom_site_type_symbol
_atom_site_fract_x
_atom_site_fract_y
_atom_site_fract_z
_atom_site_occupancy
Tl1 Tl 0.0000 0.0000 0.0000 1
As1 As 0.0000 0.0000 0.2204 1
As2 As 0.0000 0.0000 0.5096 1
Br1 Br 0.0000 0.0000 0.7326 1

***

Version Q
# TlAs2Br GGA-PBE optimized geometry
# Density: 5.85 g cm⁻³
data_TlAs2Br
_chemical_formula_sum 'Tl2 As4 Br2'
_cell_length_a 3.653
_cell_length_b 6.458
_cell_length_c 10.439
_cell_angle_alpha 90.00
_cell_angle_beta 90.00
_cell_angle_gamma 90.00
_symmetry_space_group_name_H-M 'I m m 2'
_symmetry_Int_Tables_number 44
_symmetry_space_group_name_Hall 'I 2 -2'
loop_
_atom_site_label
_atom_site_type_symbol
_atom_site_fract_x
_atom_site_fract_y
_atom_site_fract_z
_atom_site_occupancy
Tl1 Tl 0.000 0.000 0.000 1
As1 As 0.000 0.000 0.490 1
As2 As 0.000 0.500 0.837 1
Br1 Br 0.000 0.500 0.264 1

***

Name the least stable of them. version Q.